Entry from Alexandria: crystalline Th2TiOs at its relaxed geometry (PBE).

a = 3.8846 Å, b = 3.8846 Å, c = 9.7409 Å
α = 78.50°, β = 78.50°, γ = 60.00°
Last column: nearest neighbours and their distance in Å.
Element x y z (fractional)
Ti1 0.0000 0.0000 0.0000  2 Th 3.07
Os1 0.5000 0.5000 0.5000  6 Th 2.80
Th1 0.1079 0.1079 0.6764  3 Os 2.80, 1 Ti 3.07
Th2 0.8921 0.8921 0.3236  3 Os 2.80, 1 Ti 3.07

Formation energy ... 53.7 kJ/mol of atoms
Symmetry ... R-3m